Entry from Alexandria: crystalline NpScU2As4 at its relaxed geometry (PBE).

Lattice parameters (Å, degrees): 6.9835 4.0292 7.0432 90.00 109.24 90.00
With the nearest neighbours (Å) after each atom.
Space group P2/m (No. 10)
One atom of each set of equivalent atoms:
1 Np 0.0000 0.0000 0.0000  6 As 2.86-2.87
2 Sc 0.5000 0.5000 0.0000  6 As 2.79-2.81
3 U 0.0000 0.5000 0.5000  6 As 2.91-2.92
4 U 0.5000 0.0000 0.5000  6 As 2.85-2.86
5 As 0.2562 0.5000 0.2448  1 Sc 2.79, 3 U 2.86-2.92, 2 Np 2.86
6 As 0.2595 0.0000 0.7585  2 Sc 2.81, 3 U 2.85-2.91, 1 Np 2.87

## Properties
Final energy ... -67.44 eV for the cell shown
Energy relative to the elements ... -0.874 eV/atom